# 1
A plane-wave DFT calculation with PBE-GGA was carried out for a geometry-optimized BeTe2Au structure.

Output
Crystal system ... monoclinic
Formation energy from raw total energies ... -0.05 eV/atom

Unit cell a=7.1125 b=3.9589 c=8.3031 alpha=90.00 beta=108.43 gamma=90.00
Space group Cm (No. 8)
Symmetry-distinct sites (fractional):
Be: 0.0000 0.0000 0.0000 [2 per cell]
Te: 0.2092 0.5000 0.4223 [2 per cell]
Te: 0.2964 0.0000 0.9022 [2 per cell]
Au: 0.2974 0.0000 0.2361 [2 per cell]

# 2
A plane-wave DFT calculation with PBE-GGA was carried out for a geometry-optimized BeTeAu2 structure.

Output
Crystal system ... cubic
Formation energy from raw total energies ... 0.46 eV/atom
Excess energy over the best structure of this formula in the dataset ... 433 meV per atom

Unit cell a=6.7433 b=6.7433 c=6.7433 alpha=90.00 beta=90.00 gamma=90.00
Space group Fm-3m (No. 225)
Symmetry-distinct sites (fractional):
Be: 0.0000 0.0000 0.0000 [4 per cell]
Te: 0.0000 0.0000 0.5000 [4 per cell]
Au: 0.2500 0.2500 0.2500 [8 per cell]

# 3
A plane-wave DFT calculation with PBE-GGA was carried out for a geometry-optimized BeTe2Au structure.

Output
Crystal system ... tetragonal
Formation energy from raw total energies ... 0.40 eV/atom

Unit cell a=3.8550 b=3.8550 c=13.6583 alpha=90.00 beta=90.00 gamma=90.00
Space group I-4m2 (No. 119)
Symmetry-distinct sites (fractional):
Be: 0.0000 0.0000 0.0000 [2 per cell]
Te: 0.0000 0.0000 0.5000 [2 per cell]
Te: 0.0000 0.5000 0.7500 [2 per cell]
Au: 0.0000 0.5000 0.2500 [2 per cell]

# 4
A plane-wave DFT calculation with PBE-GGA was carried out for a geometry-optimized BeTeAu2 structure.

Output
Crystal system ... tetragonal
Formation energy from raw total energies ... 0.33 eV/atom
Excess energy over the best structure of this formula in the dataset ... 307 meV per atom

Unit cell a=3.8473 b=3.8473 c=5.2430 alpha=90.00 beta=90.00 gamma=90.00
Space group P4/mmm (No. 123)
Symmetry-distinct sites (fractional):
Be: 0.0000 0.0000 0.0000 [1 per cell]
Te: 0.5000 0.5000 0.0000 [1 per cell]
Au: 0.0000 0.5000 0.5000 [2 per cell]

Please write out number 4 again, unchanged.
A plane-wave DFT calculation with PBE-GGA was carried out for a geometry-optimized BeTeAu2 structure.

Output
Crystal system ... tetragonal
Formation energy from raw total energies ... 0.33 eV/atom
Excess energy over the best structure of this formula in the dataset ... 307 meV per atom

Unit cell a=3.8473 b=3.8473 c=5.2430 alpha=90.00 beta=90.00 gamma=90.00
Space group P4/mmm (No. 123)
Symmetry-distinct sites (fractional):
Be: 0.0000 0.0000 0.0000 [1 per cell]
Te: 0.5000 0.5000 0.0000 [1 per cell]
Au: 0.0000 0.5000 0.5000 [2 per cell]

What did the third record say?
A plane-wave DFT calculation with PBE-GGA was carried out for a geometry-optimized BeTe2Au structure.

Output
Crystal system ... tetragonal
Formation energy from raw total energies ... 0.40 eV/atom

Unit cell a=3.8550 b=3.8550 c=13.6583 alpha=90.00 beta=90.00 gamma=90.00
Space group I-4m2 (No. 119)
Symmetry-distinct sites (fractional):
Be: 0.0000 0.0000 0.0000 [2 per cell]
Te: 0.0000 0.0000 0.5000 [2 per cell]
Te: 0.0000 0.5000 0.7500 [2 per cell]
Au: 0.0000 0.5000 0.2500 [2 per cell]

Copy entry 3 word for word.
A plane-wave DFT calculation with PBE-GGA was carried out for a geometry-optimized BeTe2Au structure.

Output
Crystal system ... tetragonal
Formation energy from raw total energies ... 0.40 eV/atom

Unit cell a=3.8550 b=3.8550 c=13.6583 alpha=90.00 beta=90.00 gamma=90.00
Space group I-4m2 (No. 119)
Symmetry-distinct sites (fractional):
Be: 0.0000 0.0000 0.0000 [2 per cell]
Te: 0.0000 0.0000 0.5000 [2 per cell]
Te: 0.0000 0.5000 0.7500 [2 per cell]
Au: 0.0000 0.5000 0.2500 [2 per cell]